Computed, not measured: a relaxed InNi3O4 crystal at the GGA+U level of DFT.

a b c (Å): 5.400 5.400 3.114
angles (deg): 90.00 90.00 109.97
Atoms (fractional coordinates):
In: 0.000 0.000 0.000
Ni: 0.000 0.500 0.500
Ni: 0.500 0.000 0.500
Ni: 0.500 0.500 0.000
O: 0.255 0.745 0.000
O: 0.264 0.264 0.500
O: 0.736 0.736 0.500
O: 0.745 0.255 0.000

Summary:
M_tot ... 5.361 μB per cell
DFT total energy ... -37.646 eV per formula unit